# Pr7YTm4 | Alexandria | PBE-GGA | optimized geometry
# Excess energy over the best structure of this formula in the dataset: 0.000 eV per atom
# Calculated volume: 34.39 Å³/atom
# Calculated formation energy: 138 meV/atom
data_Pr7YTm4
_chemical_formula_sum 'Pr14 Y2 Tm8'
_cell_length_a 18.6778
_cell_length_b 7.1013
_cell_length_c 6.2306
_cell_angle_alpha 90.00
_cell_angle_beta 92.90
_cell_angle_gamma 90.00
_symmetry_space_group_name_H-M 'C 1 2/m 1'
_symmetry_Int_Tables_number 12
loop_
_symmetry_equiv_pos_as_xyz
'x,y,z'
'-x,-y,-z'
'-x,y,-z'
'x,-y,z'
'x+1/2,y+1/2,z'
'-x+1/2,-y+1/2,-z'
'-x+1/2,y+1/2,-z'
'x+1/2,-y+1/2,z'
loop_
_atom_site_label
_atom_site_fract_x
_atom_site_fract_y
_atom_site_fract_z
_atom_site_occupancy
Pr1 0.0000 0.0000 0.0000 1
Pr2 0.0330 0.5000 0.2597 1
Pr3 0.1899 0.0000 0.2749 1
Pr4 0.2089 0.5000 0.1949 1
Y1 0.0000 0.0000 0.5000 1
Tm1 0.1366 0.2654 0.7266 1